The following is a DFT calculation (GGA-PBE) of a relaxed ZrTiMoPt crystal.

Calculated total energy = -8.888 eV per atom

Cell: 6.491 6.491 6.491 Å, 90.00 90.00 90.00°
Space group F-43m (No. 216)
Asymmetric unit:
Zr: 0.000 0.000 0.000 x4
Ti: 0.000 0.000 0.500 x4
Mo: 0.250 0.250 0.250 x4
Pt: 0.250 0.250 0.750 x4

=====

The following is a DFT calculation (GGA-PBE) of a relaxed Tl2MoPt crystal.

Energy above the most stable polymorph in this dataset = 220 meV/atom

Cell: 4.575 4.575 3.682 Å, 90.00 90.00 90.00°
Space group P4/mmm (No. 123)
Asymmetric unit:
Tl: 0.000 0.500 0.000 x2
Mo: 0.000 0.000 0.500 x1
Pt: 0.500 0.500 0.500 x1

=====

Table of total magnetic moment (μB/atom), in record order: 0.0000, 0.0000
Table of density (g/cm³), in record order: 10.4, 15.1